A relaxed structure of Li3Co2CuO6, computed with GGA+U.

Output
Total moment, μB per formula unit: 10.01
Total DFT energy (no corrections), eV per atom: -5.384

Lattice parameters (Å, degrees): 6.6426 6.6426 5.8796 76.78 76.78 25.56
Site moments in Bohr magnetons follow the coordinates.
Positions (direct):
O 0.6696 0.6696 0.4308  0.38
O 0.0040 0.0040 0.7611  0.43
O 0.3304 0.3304 0.5692  0.38
O 0.9960 0.9960 0.2389  0.43
O 0.3376 0.3376 0.0980  0.42
O 0.6624 0.6624 0.9020  0.42
Li 0.1636 0.1636 0.1675  0.02
Li 0.5000 0.5000 0.5000  0.02
Li 0.8364 0.8364 0.8325  0.02
Co 0.1656 0.1656 0.6659  3.09
Co 0.8344 0.8344 0.3341  3.09
Cu 0.5000 0.5000 0.0000  0.88